Material: ReWSe2
Method: DFT, PBE-GGA
State: relaxed

Cell: 5.219 6.105 8.750 Å, 90.00 90.00 90.00°
Space group Fmmm (No. 69)
Inequivalent atoms, fractional coordinates:
Re: 0.000 0.000 0.000 (multiplicity 4)
W: 0.000 0.000 0.500 (multiplicity 4)
Se: 0.000 0.250 0.250 (multiplicity 8)

Output
For the distance to the lowest polymorph of the same formula, the calculation gives 0.807 eV per atom. The crystal system is orthorhombic.

Material: Ac6La5Tb
Method: DFT, PBE-GGA
State: relaxed

Cell: 5.490 10.762 16.385 Å, 90.00 90.00 90.00°
Space group Immm (No. 71)
Inequivalent atoms, fractional coordinates:
Ac: 0.000 0.248 0.000 (multiplicity 4)
Ac: 0.000 0.252 0.334 (multiplicity 8)
La: 0.000 0.000 0.166 (multiplicity 4)
La: 0.000 0.000 0.500 (multiplicity 2)
La: 0.000 0.500 0.166 (multiplicity 4)
Tb: 0.000 0.500 0.500 (multiplicity 2)

Output
The crystal system is orthorhombic. As for the formation energy: 0.3 eV per formula unit.

Material: AcTiNbGe2
Method: DFT, PBE-GGA
State: relaxed

Cell: 4.219 4.219 12.379 Å, 90.00 90.00 90.00°
Space group I-4m2 (No. 119)
Inequivalent atoms, fractional coordinates:
Ac: 0.000 0.000 0.000 (multiplicity 2)
Ti: 0.000 0.500 0.750 (multiplicity 2)
Nb: 0.000 0.500 0.250 (multiplicity 2)
Ge: 0.000 0.000 0.385 (multiplicity 4)

Output
The crystal system is tetragonal. As for the formation energy: -2.8 eV per formula unit.

no.,volume (Å³/f.u.),final energy (eV/atom)
1,69.7,-7.28
2,484.0,-4.47
3,110.2,-6.83